Entry 1:
A plane-wave DFT calculation with GGA-PBE was carried out for a relaxed Sb2Pb crystal.

```
data_Sb2Pb
_space_group_name_H-M_alt 'P 1'
_space_group_IT_number 1
_cell_length_a 5.596
_cell_length_b 5.596
_cell_length_c 6.518
_cell_angle_alpha 90.00
_cell_angle_beta 90.00
_cell_angle_gamma 120.00
loop_
_space_group_symop_operation_xyz
'x,y,z'
loop_
_atom_site_label
_atom_site_type_symbol
_atom_site_fract_x
_atom_site_fract_y
_atom_site_fract_z
Sb1 Sb 0.000 0.000 0.000
Sb2 Sb 0.000 0.000 0.500
Sb3 Sb 0.333 0.667 0.750
Sb4 Sb 0.667 0.333 0.250
Pb1 Pb 0.333 0.667 0.250
Pb2 Pb 0.667 0.333 0.750
```

excess energy over the best structure of this formula in the dataset: 136 meV per atom
total magnetic moment: 0.0 Bohr magnetons per cell
space group: No. 194
E_form (uncorrected): 0.2038 eV per atom

---

Entry 2:
A plane-wave DFT calculation with GGA-PBE was carried out for a relaxed GdCdHg2 crystal.

```
data_GdCdHg2
_space_group_name_H-M_alt 'P 1'
_space_group_IT_number 1
_cell_length_a 5.130
_cell_length_b 5.130
_cell_length_c 5.130
_cell_angle_alpha 60.00
_cell_angle_beta 60.00
_cell_angle_gamma 60.00
loop_
_space_group_symop_operation_xyz
'x,y,z'
loop_
_atom_site_label
_atom_site_type_symbol
_atom_site_fract_x
_atom_site_fract_y
_atom_site_fract_z
Gd1 Gd 0.500 0.500 0.500
Hg1 Hg 0.750 0.750 0.750
Hg2 Hg 0.250 0.250 0.250
Cd1 Cd 0.000 0.000 0.000
```

excess energy over the best structure of this formula in the dataset: 0 meV per atom
total magnetic moment: 7.0 Bohr magnetons per cell
energy of formation from the pure elements: -1.5 eV/f.u.
space group: No. 225

---

Entry 3:
A plane-wave DFT calculation with GGA-PBE was carried out for a relaxed Sm4Er2Tm3 crystal.

```
data_Sm4Er2Tm3
_space_group_name_H-M_alt 'P 1'
_space_group_IT_number 1
_cell_length_a 5.930
_cell_length_b 10.171
_cell_length_c 10.171
_cell_angle_alpha 69.74
_cell_angle_beta 83.96
_cell_angle_gamma 83.96
loop_
_space_group_symop_operation_xyz
'x,y,z'
loop_
_atom_site_label
_atom_site_type_symbol
_atom_site_fract_x
_atom_site_fract_y
_atom_site_fract_z
Sm1 Sm 0.545 0.046 0.826
Sm2 Sm 0.955 0.174 0.954
Sm3 Sm 0.455 0.954 0.174
Sm4 Sm 0.045 0.826 0.046
Sm5 Sm 0.617 0.837 0.619
Sm6 Sm 0.883 0.381 0.163
Sm7 Sm 0.383 0.163 0.381
Sm8 Sm 0.117 0.619 0.837
Er1 Er 0.206 0.708 0.497
Er2 Er 0.294 0.503 0.292
Er3 Er 0.794 0.292 0.503
Er4 Er 0.706 0.497 0.708
Tm1 Tm 0.081 0.984 0.679
Tm2 Tm 0.419 0.321 0.016
Tm3 Tm 0.919 0.016 0.321
Tm4 Tm 0.581 0.679 0.984
Tm5 Tm 0.250 0.350 0.650
Tm6 Tm 0.750 0.650 0.350
```

excess energy over the best structure of this formula in the dataset: 46 meV per atom
total magnetic moment: 0.0 Bohr magnetons per cell
energy of formation from the pure elements: 0.8 eV/f.u.
space group: No. 15

---

Entry 4:
A plane-wave DFT calculation with GGA-PBE was carried out for a relaxed K3CrRu crystal.

```
data_K3CrRu
_space_group_name_H-M_alt 'P 1'
_space_group_IT_number 1
_cell_length_a 6.243
_cell_length_b 6.243
_cell_length_c 6.243
_cell_angle_alpha 90.00
_cell_angle_beta 90.00
_cell_angle_gamma 90.00
loop_
_space_group_symop_operation_xyz
'x,y,z'
loop_
_atom_site_label
_atom_site_type_symbol
_atom_site_fract_x
_atom_site_fract_y
_atom_site_fract_z
Ru1 Ru 0.000 0.000 0.000
K1 K 0.000 0.500 0.000
K2 K 0.000 0.000 0.500
K3 K 0.500 0.000 0.000
Cr1 Cr 0.500 0.500 0.500
```

excess energy over the best structure of this formula in the dataset: 0 meV per atom
total magnetic moment: 3.0 Bohr magnetons per cell
energy of formation from the pure elements: 7.1 eV/f.u.
space group: No. 221

---

Entry 5:
A plane-wave DFT calculation with GGA-PBE was carried out for a relaxed InOsRh2 crystal.

```
data_InOsRh2
_space_group_name_H-M_alt 'P 1'
_space_group_IT_number 1
_cell_length_a 4.465
_cell_length_b 4.465
_cell_length_c 4.465
_cell_angle_alpha 60.00
_cell_angle_beta 60.00
_cell_angle_gamma 60.00
loop_
_space_group_symop_operation_xyz
'x,y,z'
loop_
_atom_site_label
_atom_site_type_symbol
_atom_site_fract_x
_atom_site_fract_y
_atom_site_fract_z
In1 In 0.500 0.500 0.500
Os1 Os 0.250 0.250 0.250
Rh1 Rh 0.000 0.000 0.000
Rh2 Rh 0.750 0.750 0.750
```

total magnetic moment: 0.0 Bohr magnetons per cell
energy of formation from the pure elements: 1.2 eV/f.u.
space group: No. 216

---

Entry 6:
A plane-wave DFT calculation with GGA-PBE was carried out for a relaxed YMo2W crystal.

```
data_YMo2W
_space_group_name_H-M_alt 'P 1'
_space_group_IT_number 1
_cell_length_a 3.256
_cell_length_b 4.820
_cell_length_c 4.595
_cell_angle_alpha 90.00
_cell_angle_beta 90.00
_cell_angle_gamma 90.00
loop_
_space_group_symop_operation_xyz
'x,y,z'
loop_
_atom_site_label
_atom_site_type_symbol
_atom_site_fract_x
_atom_site_fract_y
_atom_site_fract_z
Mo1 Mo 0.000 0.000 0.000
Mo2 Mo 0.500 0.500 0.000
W1 W 0.500 0.000 0.500
Y1 Y 0.000 0.500 0.500
```

excess energy over the best structure of this formula in the dataset: 258 meV per atom
total magnetic moment: 0.0 Bohr magnetons per cell
energy of formation from the pure elements: 2.1 eV/f.u.
space group: No. 47

---

Entry 7:
A plane-wave DFT calculation with GGA-PBE was carried out for a relaxed Ta7Pt crystal.

```
data_Ta7Pt
_space_group_name_H-M_alt 'P 1'
_space_group_IT_number 1
_cell_length_a 5.903
_cell_length_b 5.903
_cell_length_c 5.903
_cell_angle_alpha 60.00
_cell_angle_beta 60.00
_cell_angle_gamma 60.00
loop_
_space_group_symop_operation_xyz
'x,y,z'
loop_
_atom_site_label
_atom_site_type_symbol
_atom_site_fract_x
_atom_site_fract_y
_atom_site_fract_z
Ta1 Ta 0.000 0.500 0.500
Ta2 Ta 0.500 0.000 0.500
Ta3 Ta 0.500 0.500 0.000
Ta4 Ta 0.000 0.000 0.500
Ta5 Ta 0.000 0.500 0.000
Ta6 Ta 0.500 0.000 0.000
Ta7 Ta 0.500 0.500 0.500
Pt1 Pt 0.000 0.000 0.000
```

total magnetic moment: 0.0 Bohr magnetons per cell
energy of formation from the pure elements: 0.3 eV/f.u.
space group: No. 225

---

Entry 8:
A plane-wave DFT calculation with GGA-PBE was carried out for a relaxed Ac2AlNi2 crystal.

```
data_Ac2AlNi2
_space_group_name_H-M_alt 'P 1'
_space_group_IT_number 1
_cell_length_a 4.191
_cell_length_b 4.191
_cell_length_c 9.307
_cell_angle_alpha 76.99
_cell_angle_beta 76.99
_cell_angle_gamma 60.00
loop_
_space_group_symop_operation_xyz
'x,y,z'
loop_
_atom_site_label
_atom_site_type_symbol
_atom_site_fract_x
_atom_site_fract_y
_atom_site_fract_z
Ac1 Ac 0.423 0.423 0.730
Ac2 Ac 0.577 0.577 0.270
Al1 Al 0.000 0.000 0.000
Ni1 Ni 0.688 0.688 0.936
Ni2 Ni 0.312 0.312 0.064
```

total magnetic moment: 0.0 Bohr magnetons per cell
energy of formation from the pure elements: -1.8 eV/f.u.
space group: No. 166

---

Entry 9:
A plane-wave DFT calculation with GGA-PBE was carried out for a relaxed NaAlPb crystal.

```
data_NaAlPb
_space_group_name_H-M_alt 'P 1'
_space_group_IT_number 1
_cell_length_a 7.985
_cell_length_b 7.985
_cell_length_c 4.866
_cell_angle_alpha 90.00
_cell_angle_beta 90.00
_cell_angle_gamma 149.51
loop_
_space_group_symop_operation_xyz
'x,y,z'
loop_
_atom_site_label
_atom_site_type_symbol
_atom_site_fract_x
_atom_site_fract_y
_atom_site_fract_z
Pb1 Pb 0.875 0.125 0.250
Pb2 Pb 0.125 0.875 0.750
Na1 Na 0.579 0.421 0.250
Na2 Na 0.421 0.579 0.750
Al1 Al 0.242 0.758 0.250
Al2 Al 0.758 0.242 0.750
```

total magnetic moment: 0.0 Bohr magnetons per cell
energy of formation from the pure elements: 0.0 eV/f.u.
space group: No. 63

---

Entry 10:
A plane-wave DFT calculation with GGA-PBE was carried out for a relaxed RbBaZrC2 crystal.

```
data_RbBaZrC2
_space_group_name_H-M_alt 'P 1'
_space_group_IT_number 1
_cell_length_a 4.641
_cell_length_b 5.457
_cell_length_c 4.641
_cell_angle_alpha 90.00
_cell_angle_beta 90.00
_cell_angle_gamma 90.00
loop_
_space_group_symop_operation_xyz
'x,y,z'
loop_
_atom_site_label
_atom_site_type_symbol
_atom_site_fract_x
_atom_site_fract_y
_atom_site_fract_z
C1 C 0.000 0.000 0.500
C2 C 0.500 0.000 0.000
Rb1 Rb 0.000 0.500 0.000
Ba1 Ba 0.500 0.500 0.500
Zr1 Zr 0.000 0.000 0.000
```

total magnetic moment: 0.0 Bohr magnetons per cell
energy of formation from the pure elements: 7.3 eV/f.u.
space group: No. 123

---

Entry 11:
A plane-wave DFT calculation with GGA-PBE was carried out for a relaxed Mn2FeC crystal.

```
data_Mn2FeC
_space_group_name_H-M_alt 'P 1'
_space_group_IT_number 1
_cell_length_a 6.402
_cell_length_b 6.402
_cell_length_c 4.956
_cell_angle_alpha 49.77
_cell_angle_beta 49.77
_cell_angle_gamma 90.00
loop_
_space_group_symop_operation_xyz
'x,y,z'
loop_
_atom_site_label
_atom_site_type_symbol
_atom_site_fract_x
_atom_site_fract_y
_atom_site_fract_z
C1 C 0.500 0.500 0.000
C2 C 0.250 0.750 0.500
Mn1 Mn 0.521 0.125 0.250
Mn2 Mn 0.229 0.625 0.250
Mn3 Mn 0.375 0.479 0.750
Mn4 Mn 0.875 0.771 0.750
Fe1 Fe 0.000 0.000 0.000
Fe2 Fe 0.750 0.250 0.500
```

total magnetic moment: 7.9 Bohr magnetons per cell
energy of formation from the pure elements: 1.2 eV/f.u.
space group: No. 122